# 1
## Nb3CoAs (PBE)

Data for an optimized crystal structure of Nb3CoAs.

extended XYZ file:
```
5
Lattice="-2.632 3.798 -0.869 -3.859 -2.398 1.210 0.535 1.391 4.460" Properties=species:S:1:pos:R:3 pbc="T T T"
Nb -1.930 -1.199 0.605
Nb 0.267 0.695 2.230
Nb -1.316 1.899 -0.434
Co -2.978 1.395 2.401
As 0.000 0.000 0.000
```

- Crystal system: cubic
- Energy of formation from the pure elements: 1.07 eV/atom
- DOS(E_F): 5.24 states/eV/cell
- Calculated total energy: -7.324 eV per atom

# 2
## Nb3CoAs2 (PBE)

Data for an optimized crystal structure of Nb3CoAs2.

extended XYZ file:
```
24
Lattice="3.603 0.000 0.000 0.000 10.372 0.000 0.000 0.000 10.524" Properties=species:S:1:pos:R:3 pbc="T T T"
Nb 0.901 4.027 0.649
Nb 2.702 6.346 9.875
Nb 2.702 9.213 4.613
Nb 0.901 1.160 5.911
Nb 0.901 7.881 2.620
Nb 2.702 2.491 7.904
Nb 2.702 2.695 2.642
Nb 0.901 7.678 7.882
Nb 0.901 4.708 3.912
Nb 2.702 5.665 6.612
Nb 2.702 9.894 1.350
Nb 0.901 0.478 9.174
Co 0.901 1.362 1.186
Co 2.702 9.010 9.338
Co 2.702 6.548 4.076
Co 0.901 3.824 6.449
As 0.901 7.288 5.314
As 2.702 3.084 5.210
As 2.702 2.102 10.473
As 0.901 8.271 0.052
As 0.901 0.288 3.269
As 2.702 10.084 7.255
As 2.702 5.474 1.993
As 0.901 4.898 8.531
```

- Crystal system: orthorhombic
- Energy of formation from the pure elements: -0.42 eV/atom
- DOS(E_F): 14.50 states/eV/cell
- Calculated total energy: -8.187 eV per atom

# 3
## NbCo3As (PBE)

Data for an optimized crystal structure of NbCo3As.

extended XYZ file:
```
5
Lattice="4.252 0.000 0.000 0.000 4.252 0.000 0.000 0.000 4.252" Properties=species:S:1:pos:R:3 pbc="T T T"
Nb 2.126 2.126 2.126
Co 0.000 2.126 0.000
Co 0.000 0.000 2.126
Co 2.126 0.000 0.000
As 0.000 0.000 0.000
```

- Crystal system: cubic
- Energy of formation from the pure elements: 0.66 eV/atom
- DOS(E_F): 7.20 states/eV/cell
- Calculated total energy: -6.546 eV per atom